# 1
A plane-wave DFT calculation with GGA-PBE was carried out for a relaxed Sr2NiHg crystal.

Unit cell a=3.7546 b=3.7546 c=8.6202 alpha=90.00 beta=90.00 gamma=90.00
Last column: nearest neighbours and their distance in Å.
Space group P4mm (No. 99)
Asymmetric unit:
Sr 0.0000 0.0000 0.0000  1 Hg 3.08, 4 Ni 3.31
Sr 0.5000 0.5000 0.4123  1 Ni 3.09, 4 Hg 3.31
Ni 0.5000 0.5000 0.7711  4 Hg 2.88, 1 Sr 3.09
Hg 0.0000 0.0000 0.6423  4 Ni 2.88, 1 Sr 3.08

total moment = 0.001 μB per formula unit
density of states at the Fermi level = 1.06 states/eV per atom
calculated total energy = -2.378 eV/atom
volume = 121.5 Å³/cell

=====

# 2
A plane-wave DFT calculation with GGA-PBE was carried out for a relaxed PaCoSiH crystal.

Unit cell a=4.1369 b=4.1369 c=3.5811 alpha=90.00 beta=90.00 gamma=120.00
Last column: nearest neighbours and their distance in Å.
Space group P-6m2 (No. 187)
Asymmetric unit:
Pa 0.0000 0.0000 0.0000  3 H 2.39
Co 0.6667 0.3333 0.5000  2 H 1.79
Si 0.3333 0.6667 0.5000  3 Co 2.39
H 0.6667 0.3333 0.0000  2 Co 1.79

total moment = 0.000 μB per formula unit
density of states at the Fermi level = 0.39 states/eV per atom
calculated total energy = -7.019 eV/atom
volume = 53.1 Å³/cell

=====

# 3
A plane-wave DFT calculation with GGA-PBE was carried out for a relaxed NaCaN crystal.

Unit cell a=8.4294 b=4.0821 c=6.1371 alpha=90.00 beta=90.00 gamma=90.00
Last column: nearest neighbours and their distance in Å.
Space group Pnma (No. 62)
Asymmetric unit:
Na 0.1079 0.2500 0.0911  3 N 2.55-2.62
Ca 0.1384 0.2500 0.5676  4 N 2.45-2.49
N 0.1433 0.7500 0.3345  4 Ca 2.45-2.49, 3 Na 2.55-2.62

total moment = 0.000 μB per formula unit
E_form (uncorrected) = -1.02 eV/f.u.
density of states at the Fermi level = 0.00 states/eV per atom
volume = 211.2 Å³/cell

=====

# 4
A plane-wave DFT calculation with GGA-PBE was carried out for a relaxed RbIrSCl2 crystal.

Unit cell a=5.2674 b=5.2674 c=4.4176 alpha=90.00 beta=90.00 gamma=90.00
Last column: nearest neighbours and their distance in Å.
Space group P4/mmm (No. 123)
Asymmetric unit:
Rb 0.0000 0.0000 0.0000  8 Cl 3.44, 4 S 3.72
Ir 0.5000 0.5000 0.5000  2 S 2.21
S 0.5000 0.5000 0.0000  2 Ir 2.21
Cl 0.0000 0.5000 0.5000  2 Ir 2.63

total moment = 0.000 μB per formula unit
E_form (uncorrected) = -3.16 eV/f.u.
density of states at the Fermi level = 0.71 states/eV per atom
volume = 122.6 Å³/cell

=====

# 5
A plane-wave DFT calculation with GGA-PBE was carried out for a relaxed BeCr2Os crystal.

Unit cell a=4.0612 b=4.0617 c=5.7364 alpha=90.00 beta=90.00 gamma=90.00
Last column: nearest neighbours and their distance in Å.
Space group Imm2 (No. 44)
Asymmetric unit:
Be 0.0000 0.0000 0.0000  4 Os 2.49, 4 Cr 2.49
Cr 0.0000 0.0000 0.4996  4 Os 2.48-2.49, 4 Cr 2.48-2.49
Cr 0.0000 0.5000 0.2500  4 Cr 2.48-2.49, 4 Be 2.49
Os 0.0000 0.5000 0.7501  4 Cr 2.48-2.49, 4 Be 2.49

total moment = 1.717 μB per formula unit
density of states at the Fermi level = 0.68 states/eV per atom
calculated total energy = -8.565 eV/atom
volume = 94.6 Å³/cell

=====

# 6
A plane-wave DFT calculation with GGA-PBE was carried out for a relaxed BeHg2As crystal.

Unit cell a=4.1626 b=4.1626 c=4.5543 alpha=90.00 beta=90.00 gamma=90.00
Last column: nearest neighbours and their distance in Å.
Space group P4/mmm (No. 123)
Asymmetric unit:
Be 0.0000 0.0000 0.0000  4 As 2.94, 8 Hg 3.08
Hg 0.0000 0.5000 0.5000  4 Hg 2.94, 4 As 3.08, 4 Be 3.08
As 0.5000 0.5000 0.0000  4 Be 2.94, 8 Hg 3.08

total moment = 0.000 μB per formula unit
density of states at the Fermi level = 0.33 states/eV per atom
calculated total energy = -1.646 eV/atom
volume = 78.9 Å³/cell

=====

# 7
A plane-wave DFT calculation with GGA-PBE was carried out for a relaxed Ac2Th2O7 crystal.

Unit cell a=11.6271 b=11.6271 c=11.6271 alpha=90.00 beta=90.00 gamma=90.00
Last column: nearest neighbours and their distance in Å.
Space group Fd-3m (No. 227, origin choice 2)
Asymmetric unit:
Ac 0.0000 0.0000 0.0000  8 O 2.52-2.75
Th 0.0000 0.0000 0.5000  6 O 2.32
O 0.0925 0.3750 0.8750  2 Th 2.32
O 0.1250 0.1250 0.1250  4 Ac 2.52

total moment = 0.000 μB per formula unit
E_form (uncorrected) = -39.70 eV/f.u.
density of states at the Fermi level = 0.00 states/eV per atom
volume = 1571.9 Å³/cell

=====

# 8
A plane-wave DFT calculation with GGA-PBE was carried out for a relaxed HfSc4Sb crystal.

Unit cell a=4.7482 b=4.7482 c=7.2487 alpha=90.00 beta=90.00 gamma=90.00
Last column: nearest neighbours and their distance in Å.
Space group P4/mmm (No. 123)
Asymmetric unit:
Hf 0.0000 0.0000 0.0000  8 Sc 2.93
Sc 0.0000 0.5000 0.2378  2 Hf 2.93, 2 Sb 3.04
Sb 0.5000 0.5000 0.5000  8 Sc 3.04

total moment = 0.000 μB per formula unit
E_form (uncorrected) = 1.01 eV/f.u.
density of states at the Fermi level = 1.52 states/eV per atom
volume = 163.4 Å³/cell

=====

# 9
A plane-wave DFT calculation with GGA-PBE was carried out for a relaxed KNa3Cl crystal.

Unit cell a=5.8533 b=5.8533 c=5.8533 alpha=90.00 beta=90.00 gamma=90.00
Last column: nearest neighbours and their distance in Å.
Space group Pm-3m (No. 221)
Asymmetric unit:
K 0.0000 0.0000 0.0000  12 Na 4.14
Na 0.0000 0.5000 0.5000  2 Cl 2.93
Cl 0.5000 0.5000 0.5000  6 Na 2.93

total moment = 0.000 μB per formula unit
E_form (uncorrected) = -2.68 eV/f.u.
density of states at the Fermi level = 0.51 states/eV per atom
volume = 200.5 Å³/cell

=====

# 10
A plane-wave DFT calculation with GGA-PBE was carried out for a relaxed Pm5Te4Pt crystal.

Unit cell a=4.3954 b=4.3954 c=31.6395 alpha=90.00 beta=90.00 gamma=90.00
Last column: nearest neighbours and their distance in Å.
Space group I4/mmm (No. 139)
Asymmetric unit:
Pm 0.0000 0.0000 0.0000  4 Pt 3.11, 2 Te 3.29
Pm 0.0000 0.0000 0.2082  6 Te 3.15-3.29
Pm 0.0000 0.0000 0.4123  1 Pt 2.77
Te 0.0000 0.0000 0.1040  6 Pm 3.15-3.29
Te 0.0000 0.0000 0.3086  6 Pm 3.15-3.28
Pt 0.0000 0.0000 0.5000  2 Pm 2.77

total moment = 0.000 μB per formula unit
E_form (uncorrected) = -13.34 eV/f.u.
density of states at the Fermi level = 0.64 states/eV per atom
volume = 611.3 Å³/cell

=====

# 11
A plane-wave DFT calculation with GGA-PBE was carried out for a relaxed MgNi2Cl crystal.

Unit cell a=3.7324 b=3.7324 c=8.2272 alpha=90.00 beta=90.00 gamma=90.00
Last column: nearest neighbours and their distance in Å.
Space group I-4m2 (No. 119)
Asymmetric unit:
Mg 0.0000 0.0000 0.0000  8 Ni 2.64-2.78, 4 Cl 2.78
Ni 0.0000 0.0000 0.5000  4 Mg 2.64, 4 Cl 2.78, 4 Ni 2.78
Ni 0.0000 0.5000 0.7500  4 Cl 2.64, 4 Mg 2.78, 4 Ni 2.78
Cl 0.0000 0.5000 0.2500  8 Ni 2.64-2.78, 4 Mg 2.78

total moment = 0.342 μB per formula unit
E_form (uncorrected) = 1.02 eV/f.u.
density of states at the Fermi level = 0.97 states/eV per atom
volume = 114.6 Å³/cell

=====

# 12
A plane-wave DFT calculation with GGA-PBE was carried out for a relaxed PaAgTe2 crystal.

Unit cell a=4.2179 b=4.2179 c=23.0005 alpha=90.00 beta=90.00 gamma=120.00
Last column: nearest neighbours and their distance in Å.
Space group R3m (No. 160, hexagonal axes)
Asymmetric unit:
Pa 0.0000 0.0000 0.0000  6 Te 3.09-3.12
Ag 0.0000 0.0000 0.1581  6 Te 2.99-3.20
Te 0.0000 0.0000 0.4164  3 Ag 2.99, 3 Pa 3.09
Te 0.0000 0.0000 0.5820  3 Pa 3.12, 3 Ag 3.20

total moment = 1.495 μB per formula unit
E_form (uncorrected) = -1.59 eV/f.u.
density of states at the Fermi level = 1.45 states/eV per atom
volume = 354.4 Å³/cell

=====

# 13
A plane-wave DFT calculation with GGA-PBE was carried out for a relaxed Ac6In2IrO crystal.

Unit cell a=7.9175 b=11.2054 c=7.9177 alpha=90.00 beta=90.00 gamma=90.00
Last column: nearest neighbours and their distance in Å.
Space group Pmmn (No. 59, origin choice 2)
Asymmetric unit:
Ac 0.0084 0.2500 0.0078  1 O 2.71, 1 Ir 2.89
Ac 0.0081 0.2500 0.4911  1 O 2.71, 1 Ir 2.89
Ac 0.2500 0.0082 0.2501  1 O 2.71, 1 Ir 2.89
In 0.2500 0.9999 0.7505  12 Ac 3.96-3.97
Ir 0.2500 0.7500 0.2504  6 Ac 2.89
O 0.2500 0.2500 0.2496  6 Ac 2.71

total moment = 0.001 μB per formula unit
E_form (uncorrected) = -7.65 eV/f.u.
density of states at the Fermi level = 1.02 states/eV per atom
volume = 702.4 Å³/cell

=====

# 14
A plane-wave DFT calculation with GGA-PBE was carried out for a relaxed Na12Tl5Sn2 crystal.

Unit cell a=14.5184 b=9.2874 c=8.4459 alpha=90.00 beta=90.46 gamma=90.00
Last column: nearest neighbours and their distance in Å.
Space group C2/m (No. 12)
Asymmetric unit:
Na 0.0614 0.0000 0.3169  2 Tl 3.17-3.35, 2 Sn 3.24, 4 Na 3.26-3.28
Na 0.0893 0.5000 0.8733  5 Na 3.31-3.67, 3 Tl 3.32-3.40, 2 Sn 3.47
Na 0.1234 0.2032 0.6641  4 Na 3.28-3.60, 4 Tl 3.31-3.56, 1 Sn 3.38
Na 0.1531 0.3120 0.2402  3 Na 3.26-3.49, 1 Sn 3.26, 4 Tl 3.39-3.61
Tl 0.0000 0.5000 0.5000  10 Na 3.40-3.59, 2 Tl 3.41
Tl 0.1948 0.0000 0.9958  2 Sn 3.26, 8 Na 3.32-3.61
Tl 0.2325 0.5000 0.5574  8 Na 3.17-3.39, 1 Tl 3.41
Sn 0.0000 0.1737 0.0000  1 Sn 3.23, 8 Na 3.24-3.47, 2 Tl 3.26

total moment = 0.000 μB per formula unit
density of states at the Fermi level = 0.37 states/eV per atom
calculated total energy = -1.972 eV/atom
volume = 1138.8 Å³/cell

=====

# 15
A plane-wave DFT calculation with GGA-PBE was carried out for a relaxed CaMg2CoGe crystal.

Unit cell a=4.8499 b=4.8499 c=4.5394 alpha=90.00 beta=90.00 gamma=90.00
Last column: nearest neighbours and their distance in Å.
Space group P4/mmm (No. 123)
Asymmetric unit:
Ca 0.0000 0.0000 0.0000  8 Mg 3.32, 4 Ge 3.43
Mg 0.0000 0.5000 0.5000  2 Co 2.42
Co 0.5000 0.5000 0.5000  2 Ge 2.27, 4 Mg 2.42
Ge 0.5000 0.5000 0.0000  2 Co 2.27

total moment = 0.838 μB per formula unit
density of states at the Fermi level = 0.59 states/eV per atom
calculated total energy = -3.529 eV/atom
volume = 106.8 Å³/cell

=====

# 16
A plane-wave DFT calculation with GGA-PBE was carried out for a relaxed La4Nd5Dy2 crystal.

Unit cell a=3.5581 b=9.5985 c=23.2185 alpha=90.00 beta=90.00 gamma=90.00
Last column: nearest neighbours and their distance in Å.
Space group Immm (No. 71)
Asymmetric unit:
La 0.0000 0.0000 0.0929  1 Dy 3.14, 4 La 3.45
La 0.0000 0.2901 0.5000  4 Nd 3.30-3.63, 6 La 3.45-3.56
Nd 0.0000 0.2040 0.3476  3 Dy 3.39-3.79, 2 Nd 3.56, 3 La 3.63
Nd 0.0000 0.5000 0.0000  4 La 3.30, 2 Nd 3.56
Dy 0.0000 0.0000 0.2284  1 La 3.14, 2 Nd 3.39

total moment = 0.000 μB per formula unit
density of states at the Fermi level = 1.41 states/eV per atom
calculated total energy = -4.563 eV/atom
volume = 793.0 Å³/cell

=====

# 17
A plane-wave DFT calculation with GGA-PBE was carried out for a relaxed RbNaTlCd2 crystal.

Unit cell a=4.6364 b=5.2236 c=14.2648 alpha=90.00 beta=90.00 gamma=90.00
Last column: nearest neighbours and their distance in Å.
Space group Imm2 (No. 44)
Asymmetric unit:
Rb 0.0000 0.0000 0.0000  6 Cd 3.81-3.90, 4 Na 3.88, 2 Tl 4.25
Na 0.0000 0.0000 0.6189  2 Tl 3.21, 3 Cd 3.21-3.27
Tl 0.0000 0.5000 0.7494  2 Cd 3.10, 2 Na 3.21
Cd 0.0000 0.0000 0.3938  2 Cd 3.07, 2 Tl 3.10, 1 Na 3.21
Cd 0.0000 0.5000 0.2805  2 Cd 3.07, 2 Na 3.27

total moment = 0.000 μB per formula unit
density of states at the Fermi level = 0.48 states/eV per atom
calculated total energy = -1.310 eV/atom
volume = 345.5 Å³/cell

=====

# 18
A plane-wave DFT calculation with GGA-PBE was carried out for a relaxed Be2BIrC crystal.

Unit cell a=4.2575 b=4.2575 c=3.9635 alpha=90.00 beta=90.00 gamma=90.00
Last column: nearest neighbours and their distance in Å.
Space group P4/mmm (No. 123)
Asymmetric unit:
Be 0.0000 0.5000 0.0000  2 Ir 2.13
B 0.0000 0.0000 0.5000  2 Ir 1.98
Ir 0.0000 0.0000 0.0000  2 B 1.98, 4 Be 2.13
C 0.5000 0.5000 0.5000  8 Be 2.91, 4 B 3.01

total moment = 1.057 μB per formula unit
density of states at the Fermi level = 0.44 states/eV per atom
calculated total energy = -4.771 eV/atom
volume = 71.8 Å³/cell

=====

# 19
A plane-wave DFT calculation with GGA-PBE was carried out for a relaxed AlSiPt2 crystal.

Unit cell a=2.8661 b=2.8661 c=7.4352 alpha=90.00 beta=90.00 gamma=90.00
Last column: nearest neighbours and their distance in Å.
Space group P4mm (No. 99)
Asymmetric unit:
Al 0.0000 0.0000 0.0000  4 Pt 2.58, 4 Al 2.87
Si 0.5000 0.5000 0.7182  4 Pt 2.52
Pt 0.0000 0.0000 0.5175  4 Si 2.52
Pt 0.5000 0.5000 0.2152  4 Al 2.58, 4 Pt 2.87

total moment = 0.000 μB per formula unit
E_form (uncorrected) = -1.65 eV/f.u.
density of states at the Fermi level = 0.46 states/eV per atom
volume = 61.1 Å³/cell

=====

# 20
A plane-wave DFT calculation with GGA-PBE was carried out for a relaxed LiPr3Hg crystal.

Unit cell a=8.0981 b=6.8971 c=11.2289 alpha=90.00 beta=104.21 gamma=90.00
Last column: nearest neighbours and their distance in Å.
Space group P2_1/c (No. 14)
Asymmetric unit:
Li 0.0465 0.2139 0.0270  1 Hg 2.87, 1 Li 3.07
Pr 0.1718 0.5147 0.2711  1 Hg 3.23, 2 Li 3.39-3.48, 2 Pr 3.42-3.60
Pr 0.2555 0.0180 0.3641  2 Hg 3.19, 1 Li 3.34, 3 Pr 3.42-3.57
Pr 0.3840 0.6696 0.5944  3 Hg 3.11-3.40, 1 Li 3.43
Hg 0.4039 0.2209 0.6235  1 Li 2.87, 3 Pr 3.11-3.19

total moment = 0.000 μB per formula unit
density of states at the Fermi level = 1.11 states/eV per atom
calculated total energy = -3.408 eV/atom
volume = 608.0 Å³/cell